## KTaFe2O6 (PBE with a Hubbard U)

Data for KTaFe2O6 after structural relaxation.

Cell lengths 9.322, 11.950, 6.520 Å; angles 90.00, 114.36, 90.00 degrees
Space group C2/c (No. 15)
Symmetry-distinct sites (fractional):
K  0.000  0.106  0.250 x4
Ta  0.000  0.197  0.750 x4
Fe  0.124  0.428  0.158 x8
O  0.085  0.279  0.018 x8
O  0.117  0.453  0.453 x8
O  0.144  0.098  0.716 x8

Properties
N(E_F) ... 0.00 states/eV per cell
Uncorrected energy ... -7.37 eV/atom